# 1
DFT (PBE) results for a relaxed HoCdH6Rh2 crystal.

The space group is C2/c (No. 15) and the conventional cell measures 7.384, 10.045 and 5.633 Å, with angles of 90.00, 114.13 and 90.00 degrees. The inequivalent atoms are Ho at (0.000, 0.135, 0.250), Cd at (0.000, 0.286, 0.750), H at (0.092, 0.422, 0.459), H at (0.180, 0.043, 0.018), H at (0.223, 0.212, 0.654) and Rh at (0.187, 0.434, 0.202).

# 2
DFT (PBE) results for a relaxed CdH2I2 crystal.

The space group is P2_1/c (No. 14) and the conventional cell measures 10.067, 9.821 and 7.508 Å, with angles of 90.00, 90.65 and 90.00 degrees. The inequivalent atoms are Cd at (0.242, 0.249, 0.497), H at (0.244, 0.737, 0.952), H at (0.268, 0.732, 0.538), I at (0.091, 0.097, 0.745) and I at (0.393, 0.096, 0.249).

The calculation puts the energy above the most stable polymorph in this dataset at 0 meV per atom.

# 3
DFT (PBE) results for a relaxed Cd2H4I crystal.

The space group is P-1 (No. 2) and the conventional cell measures 3.692, 3.747 and 9.279 Å, with angles of 101.55, 90.28 and 90.16 degrees. The inequivalent atoms are Cd at (0.004, 0.168, 0.331), H at (0.005, 0.685, 0.366), H at (0.496, 0.822, 0.649) and I at (0.000, 0.000, 0.000).

# 4
DFT (PBE) results for a relaxed Cd3HI crystal.

The space group is Pm-3m (No. 221) and the conventional cell measures 6.711, 6.711 and 6.711 Å, with angles of 90.00, 90.00 and 90.00 degrees. The inequivalent atoms are Cd at (0.000, 0.000, 0.500), H at (0.500, 0.500, 0.500) and I at (0.000, 0.000, 0.000).

The calculation puts the energy above the most stable polymorph in this dataset at 512 meV per atom.

# 5
DFT (PBE) results for a relaxed CdHI2 crystal.

The space group is Cmcm (No. 63) and the conventional cell measures 4.511, 19.491 and 6.282 Å, with angles of 90.00, 90.00 and 90.00 degrees. The inequivalent atoms are Cd at (0.000, 0.189, 0.250), H at (0.000, 0.086, 0.250), I at (0.000, 0.201, 0.750) and I at (0.000, 0.418, 0.750).

# 6
DFT (PBE) results for a relaxed Cd5H3I12 crystal.

The space group is Ia-3d (No. 230) and the conventional cell measures 18.420, 18.420 and 18.420 Å, with angles of 90.00, 90.00 and 90.00 degrees. The inequivalent atoms are Cd at (0.000, 0.000, 0.000), Cd at (0.000, 0.250, 0.375), H at (0.000, 0.250, 0.125) and I at (0.033, 0.067, 0.646).

# 7
DFT (PBE) results for a relaxed CdHI crystal.

The space group is P1 (No. 1) and the conventional cell measures 5.120, 5.333 and 7.026 Å, with angles of 112.17, 90.05 and 90.01 degrees. The inequivalent atoms are Cd at (0.000, 0.000, 0.000), Cd at (0.500, 0.380, 0.000), H at (0.250, 0.259, 0.138), H at (0.750, 0.123, 0.863), I at (0.249, 0.542, 0.701) and I at (0.750, 0.839, 0.299).

The calculation puts the energy above the most stable polymorph in this dataset at 0 meV per atom.

# 8
DFT (PBE) results for a relaxed CdH2I2 crystal.

The space group is I4/mmm (No. 139) and the conventional cell measures 3.985, 3.985 and 12.936 Å, with angles of 90.00, 90.00 and 90.00 degrees. The inequivalent atoms are Cd at (0.000, 0.000, 0.000), H at (0.000, 0.500, 0.250) and I at (0.000, 0.000, 0.349).

The calculation puts the energy above the most stable polymorph in this dataset at 879 meV per atom.

# 9
DFT (PBE) results for a relaxed CdH2I5 crystal.

The space group is P1 (No. 1) and the conventional cell measures 6.530, 7.133 and 8.281 Å, with angles of 96.71, 109.35 and 91.95 degrees. The inequivalent atoms are Cd at (0.000, 0.000, 0.000), H at (0.173, 0.504, 0.968), H at (0.599, 0.018, 0.581), I at (0.035, 0.888, 0.328), I at (0.078, 0.691, 0.793), I at (0.288, 0.341, 0.125), I at (0.542, 0.883, 0.339) and I at (0.610, 0.144, 0.791).

# 10
DFT (PBE) results for a relaxed Cd2H2I3 crystal.

The space group is P-1 (No. 2) and the conventional cell measures 4.244, 7.563 and 7.949 Å, with angles of 76.86, 74.79 and 89.40 degrees. The inequivalent atoms are Cd at (0.132, 0.431, 0.236), H at (0.039, 0.007, 0.536), I at (0.282, 0.766, 0.929) and I at (0.500, 0.500, 0.500).

# 11
DFT (PBE) results for a relaxed CdHI2 crystal.

The space group is P1 (No. 1) and the conventional cell measures 4.580, 4.582 and 6.998 Å, with angles of 84.23, 84.26 and 63.50 degrees. The inequivalent atoms are Cd at (0.000, 0.000, 0.000), H at (0.499, 0.501, 0.500), I at (0.329, 0.334, 0.728) and I at (0.668, 0.669, 0.273).

# 12
DFT (PBE) results for a relaxed CdHI2 crystal.

The space group is Fm-3m (No. 225) and the conventional cell measures 7.620, 7.620 and 7.620 Å, with angles of 90.00, 90.00 and 90.00 degrees. The inequivalent atoms are Cd at (0.000, 0.000, 0.000), H at (0.000, 0.000, 0.500) and I at (0.250, 0.250, 0.250).

# 13
DFT (PBE) results for a relaxed CdHI crystal.

The space group is Pm (No. 6) and the conventional cell measures 3.772, 4.454 and 4.450 Å, with angles of 90.00, 90.01 and 90.00 degrees. The inequivalent atoms are Cd at (0.000, 0.000, 0.000), H at (0.500, 0.000, 0.997) and I at (0.002, 0.500, 0.498).

The calculation puts the energy above the most stable polymorph in this dataset at 100 meV per atom.

# 14
DFT (PBE) results for a relaxed CdH4I crystal.

The space group is C2/c (No. 15) and the conventional cell measures 7.677, 13.640 and 4.954 Å, with angles of 90.00, 118.72 and 90.00 degrees. The inequivalent atoms are Cd at (0.000, 0.188, 0.250), H at (0.056, 0.051, 0.793), H at (0.249, 0.342, 0.672) and I at (0.000, 0.345, 0.750).

# 15
DFT (PBE) results for a relaxed CdHI2 crystal.

The space group is I-42d (No. 122) and the conventional cell measures 7.391, 7.391 and 11.284 Å, with angles of 90.00, 90.00 and 90.00 degrees. The inequivalent atoms are Cd at (0.000, 0.000, 0.000), H at (0.000, 0.000, 0.500) and I at (0.221, 0.250, 0.125).

# 16
DFT (PBE) results for a relaxed CdH6I crystal.

The space group is P-1 (No. 2) and the conventional cell measures 4.803, 5.464 and 5.471 Å, with angles of 86.70, 84.56 and 71.38 degrees. The inequivalent atoms are Cd at (0.000, 0.000, 0.000), H at (0.241, 0.043, 0.222), H at (0.381, 0.610, 0.341), H at (0.383, 0.469, 0.346) and I at (0.500, 0.000, 0.500).

# 17
DFT (PBE) results for a relaxed CdHI crystal.

The space group is P-1 (No. 2) and the conventional cell measures 4.474, 5.859 and 7.249 Å, with angles of 66.17, 89.96 and 89.98 degrees. The inequivalent atoms are Cd at (0.249, 0.234, 0.090), H at (0.250, 0.488, 0.153) and I at (0.250, 0.137, 0.727).

The calculation puts the energy above the most stable polymorph in this dataset at 88 meV per atom.

# 18
DFT (PBE) results for a relaxed Cd3HI crystal.

The space group is Pm-3m (No. 221) and the conventional cell measures 4.938, 4.938 and 4.938 Å, with angles of 90.00, 90.00 and 90.00 degrees. The inequivalent atoms are Cd at (0.000, 0.000, 0.500), H at (0.000, 0.000, 0.000) and I at (0.500, 0.500, 0.500).

The calculation puts the energy above the most stable polymorph in this dataset at 0 meV per atom.

# 19
DFT (PBE) results for a relaxed K2CdHI crystal.

The space group is P4/mmm (No. 123) and the conventional cell measures 6.659, 6.659 and 4.144 Å, with angles of 90.00, 90.00 and 90.00 degrees. The inequivalent atoms are K at (0.000, 0.500, 0.000), Cd at (0.000, 0.000, 0.000), H at (0.000, 0.000, 0.500) and I at (0.500, 0.500, 0.500).

# 20
DFT (PBE) results for a relaxed CdMoHI2 crystal.

The space group is P4/mmm (No. 123) and the conventional cell measures 5.989, 5.989 and 3.777 Å, with angles of 90.00, 90.00 and 90.00 degrees. The inequivalent atoms are Cd at (0.000, 0.000, 0.000), Mo at (0.500, 0.500, 0.500), H at (0.000, 0.000, 0.500) and I at (0.000, 0.500, 0.000).

no.,Fermi-level density of states (states/eV/cell),total magnetic moment (μB/f.u.),raw total energy (hartree per atom)
1,5.4,0.00,-0.158
2,0.0,0.00,-0.092
3,1.8,0.00,-0.079
4,5.1,0.90,-0.026
5,3.0,0.00,-0.068
6,227.6,1.40,-0.061
7,0.0,0.00,-0.079
8,1.5,0.00,-0.060
9,0.5,0.00,-0.077
10,2.0,0.00,-0.079
11,1.7,0.00,-0.068
12,2.4,1.00,-0.053
13,0.6,0.00,-0.075
14,1.7,0.00,-0.090
15,0.0,1.00,-0.063
16,0.4,0.00,-0.100
17,0.0,0.00,-0.075
18,2.9,0.00,-0.045
19,1.5,0.00,-0.069
20,1.4,4.93,-0.109